## Rb2Cd2S3O12 (GGA-PBE)

Data for a relaxed structure of Rb2Cd2S3O12.

## Properties
energy = -5.528 eV per atom

Cell: 10.278 10.278 10.278 Å, 90.00 90.00 90.00°
Space group P2_13 (No. 198)
Symmetry-distinct sites (fractional):
Rb  0.064  0.064  0.064
Rb  0.192  0.692  0.808
Cd  0.082  0.918  0.418
Cd  0.170  0.330  0.670
S  0.020  0.739  0.127
O  0.011  0.600  0.162
O  0.012  0.319  0.257
O  0.024  0.926  0.774
O  0.080  0.154  0.770

=====

## Rb2Cd2S3O12 (GGA-PBE)

Data for a relaxed structure of Rb2Cd2S3O12.

## Properties
energy = -5.532 eV per atom

Cell: 10.315 10.315 10.315 Å, 90.00 90.00 90.00°
Space group P2_13 (No. 198)
Symmetry-distinct sites (fractional):
Rb  0.055  0.445  0.555
Rb  0.186  0.186  0.186
Cd  0.081  0.581  0.919
Cd  0.169  0.831  0.331
S  0.011  0.271  0.876
O  0.008  0.429  0.258
O  0.016  0.905  0.672
O  0.025  0.677  0.726
O  0.087  0.649  0.241

=====

Which of these has the lowest energy? number 2

=====

Which of these has the lowest energy? number 2

=====

Which value of energy does entry 2 give? -5.532 eV per atom